Entry from the Alexandria database: a geometry-optimized NbRe3Ge structure (GGA-PBE).

Geometry as extended XYZ:
```
5
Lattice="4.500 0.000 0.000 0.000 4.500 0.000 0.000 0.000 4.500" Properties=species:S:1:pos:R:3 pbc="T T T"
Nb 0.000 0.000 0.000
Re 0.000 2.250 2.250
Re 2.250 0.000 2.250
Re 2.250 2.250 0.000
Ge 2.250 2.250 2.250
```

- Magnetization: 0.0 μB per cell
- Relative energy among the computed polymorphs: 0.00 eV per formula unit
- Energy relative to the elements: 1.41 eV per atom
- V: 91 Å³ per cell
- Theoretical density: 13.19 g/cm3

Entry from the Alexandria database: a geometry-optimized Co2IrIBr structure (GGA-PBE).

Geometry as extended XYZ:
```
5
Lattice="4.430 0.000 0.000 0.000 4.430 0.000 0.000 0.000 5.056" Properties=species:S:1:pos:R:3 pbc="T T T"
Co 0.000 2.215 0.000
Co 2.215 0.000 0.000
Ir 0.000 0.000 2.528
I 2.215 2.215 2.528
Br 0.000 0.000 0.000
```

- E_form (uncorrected): 1.39 eV/atom
- Magnetization: 3.6 μB per cell
- V: 99 Å³ per cell
- Theoretical density: 8.65 g/cm3

Entry from the Alexandria database: a geometry-optimized AcAl3Ge3 structure (GGA-PBE).

Geometry as extended XYZ:
```
14
Lattice="3.668 2.118 7.470 -3.668 2.118 7.470 0.000 -4.236 7.470" Properties=species:S:1:pos:R:3 pbc="T T T"
Ac 0.000 0.000 3.723
Ac 0.000 0.000 18.688
Al -1.237 -2.149 8.396
Al -2.480 -0.003 14.015
Al -1.243 2.146 8.396
Al 1.243 -2.146 14.015
Al 2.480 0.003 8.396
Al 1.237 2.149 14.015
Ge -2.378 0.000 9.206
Ge -1.189 -2.059 13.205
Ge 1.189 -2.059 9.206
Ge -1.189 2.059 13.205
Ge 1.189 2.059 9.206
Ge 2.378 0.000 13.205
```

- Magnetization: 0.0 μB per cell
- Relative energy among the computed polymorphs: 0.00 eV per formula unit
- Energy relative to the elements: -0.28 eV per atom
- V: 348 Å³ per cell
- Theoretical density: 5.02 g/cm3

Entry from the Alexandria database: a geometry-optimized HoTm3Sc2 structure (GGA-PBE).

Geometry as extended XYZ:
```
12
Lattice="7.101 -4.807 0.000 7.101 4.807 0.000 0.000 0.000 5.386" Properties=species:S:1:pos:R:3 pbc="T T T"
Ho 7.101 2.680 4.040
Ho 7.101 -2.680 1.347
Tm 3.658 1.264 1.347
Tm 3.658 -1.264 4.040
Tm 7.101 0.903 1.347
Tm 7.101 -0.903 4.040
Tm 10.543 1.264 1.347
Tm 10.543 -1.264 4.040
Sc 1.519 0.913 4.040
Sc 1.519 -0.913 1.347
Sc 12.682 0.913 4.040
Sc 12.682 -0.913 1.347
```

- Magnetization: 0.0 μB per cell
- Relative energy among the computed polymorphs: 1.07 eV per formula unit
- Energy relative to the elements: 0.31 eV per atom
- V: 368 Å³ per cell
- Theoretical density: 6.88 g/cm3

Entry from the Alexandria database: a geometry-optimized AlCdRu2 structure (GGA-PBE).

Geometry as extended XYZ:
```
4
Lattice="2.862 0.000 0.000 0.000 3.977 0.000 -1.052 0.000 5.507" Properties=species:S:1:pos:R:3 pbc="T T T"
Al 0.000 0.000 0.000
Cd -0.526 0.000 2.754
Ru 0.844 1.988 1.195
Ru 0.966 1.988 4.312
```

- Magnetization: 0.0 μB per cell
- Relative energy among the computed polymorphs: 0.44 eV per formula unit
- Energy relative to the elements: 0.03 eV per atom
- V: 63 Å³ per cell
- Theoretical density: 9.05 g/cm3

Entry from the Alexandria database: a geometry-optimized NdScCdRu structure (GGA-PBE).

Geometry as extended XYZ:
```
4
Lattice="0.000 3.530 3.530 3.530 0.000 3.530 3.530 3.530 0.000" Properties=species:S:1:pos:R:3 pbc="T T T"
Nd 0.000 0.000 0.000
Sc 3.530 3.530 3.530
Cd 1.765 1.765 1.765
Ru 5.295 5.295 5.295
```

- Magnetization: 0.0 μB per cell
- Energy relative to the elements: -0.20 eV per atom
- V: 88 Å³ per cell
- Theoretical density: 7.60 g/cm3

Entry from the Alexandria database: a geometry-optimized Dy3Ga5Se12 structure (GGA-PBE).

Geometry as extended XYZ:
```
80
Lattice="-7.942 7.942 7.942 7.942 -7.942 7.942 7.942 7.942 -7.942" Properties=species:S:1:pos:R:3 pbc="T T T"
Dy 3.971 1.985 0.000
Dy 7.942 3.971 -1.985
Dy 1.985 0.000 3.971
Dy 9.927 0.000 3.971
Dy 0.000 3.971 1.985
Dy 3.971 -1.985 7.942
Dy 3.971 9.927 0.000
Dy 7.942 3.971 5.956
Dy -1.985 7.942 3.971
Dy 5.956 7.942 3.971
Dy 0.000 3.971 9.927
Dy 3.971 5.956 7.942
Ga 0.000 0.000 0.000
Ga 3.971 3.971 -3.971
Ga 3.971 -3.971 3.971
Ga 7.942 0.000 0.000
Ga 11.912 1.985 0.000
Ga 7.942 -3.971 5.956
Ga 5.956 7.942 -3.971
Ga 5.956 0.000 3.971
Ga 3.971 5.956 0.000
Ga 7.942 3.971 1.985
Ga -3.971 3.971 3.971
Ga 0.000 7.942 0.000
Ga 0.000 0.000 7.942
Ga 3.971 3.971 3.971
Ga 0.000 3.971 5.956
Ga 3.971 1.985 7.942
Ga 1.985 7.942 3.971
Ga 1.985 0.000 11.912
Ga 0.000 11.912 1.985
Ga -3.971 5.956 7.942
Se 2.395 -0.397 0.959
Se 9.517 4.930 -4.368
Se 10.337 0.397 0.959
Se 9.517 -3.012 4.368
Se 7.545 -0.959 2.395
Se 12.309 -1.576 3.012
Se 0.959 2.395 -0.397
Se 10.954 3.574 -1.576
Se 4.930 4.368 -1.576
Se 6.983 2.395 0.397
Se -0.397 0.959 2.395
Se 4.368 -1.576 4.930
Se 7.545 6.983 -2.395
Se 4.368 1.576 3.012
Se 4.930 -4.368 9.517
Se 6.983 -2.395 7.545
Se 3.012 4.368 1.576
Se 8.900 5.547 0.397
Se 4.368 9.517 -3.012
Se 7.545 0.959 5.547
Se 2.395 7.545 -0.959
Se 9.517 3.012 3.574
Se 1.576 3.012 4.368
Se 2.395 0.397 6.983
Se 5.547 7.545 0.959
Se 6.366 4.930 3.574
Se -1.576 4.930 4.368
Se 5.547 0.397 8.900
Se 0.397 6.983 2.395
Se 3.574 -1.576 10.954
Se -0.959 2.395 7.545
Se 4.930 3.574 6.366
Se 0.959 10.337 0.397
Se 3.012 12.309 -1.576
Se 3.574 6.366 4.930
Se 0.397 0.959 10.337
Se 3.574 9.517 3.012
Se 8.338 6.983 5.547
Se 0.959 5.547 7.545
Se 3.012 3.574 9.517
Se -3.012 4.368 9.517
Se 6.983 5.547 8.338
Se -4.368 9.517 4.930
Se 0.397 8.900 5.547
Se -1.576 10.954 3.574
Se -2.395 7.545 6.983
Se -1.576 3.012 12.309
Se 5.547 8.338 6.983
```

- E_form (uncorrected): -1.00 eV/atom
- Magnetization: 0.0 μB per cell
- V: 2003 Å³ per cell
- Theoretical density: 5.91 g/cm3

Entry from the Alexandria database: a geometry-optimized Cs2Al2Sn structure (GGA-PBE).

Geometry as extended XYZ:
```
10
Lattice="11.389 0.000 0.000 0.000 11.389 0.000 0.000 0.000 3.344" Properties=species:S:1:pos:R:3 pbc="T T T"
Cs 2.373 3.321 0.000
Cs 3.321 9.016 0.000
Cs 8.068 2.373 0.000
Cs 9.016 8.068 0.000
Al 0.902 6.596 1.672
Al 4.793 0.902 1.672
Al 6.596 10.487 1.672
Al 10.487 4.793 1.672
Sn 0.000 0.000 0.000
Sn 5.695 5.695 0.000
```

- Magnetization: 0.0 μB per cell
- Relative energy among the computed polymorphs: 2.04 eV per formula unit
- Energy relative to the elements: 0.58 eV per atom
- V: 434 Å³ per cell
- Theoretical density: 3.36 g/cm3

Entry from the Alexandria database: a geometry-optimized VAu2I structure (GGA-PBE).

Geometry as extended XYZ:
```
8
Lattice="-4.070 4.070 2.721 4.070 -4.070 2.721 4.070 4.070 -2.721" Properties=species:S:1:pos:R:3 pbc="T T T"
V 0.000 0.000 0.000
V 0.000 4.070 1.361
Au 6.105 1.777 -0.680
Au 1.777 2.035 0.680
Au -2.035 2.293 2.041
Au 2.293 2.035 3.401
I 4.070 0.000 1.361
I 0.000 0.000 2.721
```

- E_form (uncorrected): 0.40 eV/atom
- Magnetization: 4.8 μB per cell
- Relative energy among the computed polymorphs: 0.00 eV per formula unit
- V: 180 Å³ per cell
- Theoretical density: 10.53 g/cm3

Entry from the Alexandria database: a geometry-optimized LiHfHg2 structure (GGA-PBE).

Geometry as extended XYZ:
```
4
Lattice="-1.488 2.781 5.578 1.488 -2.781 5.578 1.488 2.781 -5.578" Properties=species:S:1:pos:R:3 pbc="T T T"
Li 0.000 0.000 0.000
Hf 0.000 0.000 5.578
Hg 0.000 0.000 2.623
Hg 0.000 0.000 8.534
```

- Magnetization: 0.0 μB per cell
- Energy relative to the elements: 0.43 eV per atom
- V: 92 Å³ per cell
- Theoretical density: 10.55 g/cm3

Entry from the Alexandria database: a geometry-optimized MoSe2Br structure (GGA-PBE).

Geometry as extended XYZ:
```
4
Lattice="-1.622 2.278 6.873 1.622 -2.278 6.873 1.622 2.278 -6.873" Properties=species:S:1:pos:R:3 pbc="T T T"
Mo 0.000 0.000 0.000
Se 1.622 0.000 1.948
Se 0.000 0.000 7.314
Br 0.000 2.278 4.770
```

- E_form (uncorrected): 0.02 eV/atom
- Magnetization: 0.0 μB per cell
- Relative energy among the computed polymorphs: 1.19 eV per formula unit
- V: 102 Å³ per cell
- Theoretical density: 5.46 g/cm3

Entry from the Alexandria database: a geometry-optimized Np2ReS structure (GGA-PBE).

Geometry as extended XYZ:
```
4
Lattice="1.710 0.988 7.980 -1.710 0.988 7.980 0.000 -1.975 7.980" Properties=species:S:1:pos:R:3 pbc="T T T"
Np 0.000 0.000 5.889
Np 0.000 0.000 18.051
Re 0.000 0.000 0.000
S 0.000 0.000 11.970
```

- E_form (uncorrected): -0.12 eV/atom
- Magnetization: 6.7 μB per cell
- V: 81 Å³ per cell
- Theoretical density: 14.21 g/cm3

Entry from the Alexandria database: a geometry-optimized Pa2NiOs structure (GGA-PBE).

Geometry as extended XYZ:
```
4
Lattice="3.366 0.000 0.000 0.000 3.366 0.000 0.000 0.000 6.913" Properties=species:S:1:pos:R:3 pbc="T T T"
Pa 0.000 0.000 1.686
Pa 0.000 0.000 5.226
Ni 1.683 1.683 0.000
Os 1.683 1.683 3.456
```

- Magnetization: 0.0 μB per cell
- Energy relative to the elements: -0.19 eV per atom
- V: 78 Å³ per cell
- Theoretical density: 15.07 g/cm3

Entry from the Alexandria database: a geometry-optimized ZnCu5Ni structure (GGA-PBE).

Geometry as extended XYZ:
```
7
Lattice="-3.128 4.187 2.341 3.128 -4.187 2.341 3.128 4.187 -2.341" Properties=species:S:1:pos:R:3 pbc="T T T"
Zn 0.000 0.000 0.000
Cu 1.987 0.000 1.347
Cu 4.269 0.000 1.347
Cu 3.128 1.906 0.365
Cu 0.000 0.000 2.423
Cu 0.000 2.281 2.706
Ni 0.000 4.187 1.277
```

- Magnetization: 0.0 μB per cell
- Relative energy among the computed polymorphs: 5.18 eV per formula unit
- Energy relative to the elements: 0.70 eV per atom
- V: 123 Å³ per cell
- Theoretical density: 5.98 g/cm3

Entry from the Alexandria database: a geometry-optimized CeTaSN2 structure (GGA-PBE).

Geometry as extended XYZ:
```
5
Lattice="3.919 0.000 0.000 0.000 3.919 0.000 0.000 0.000 5.765" Properties=species:S:1:pos:R:3 pbc="T T T"
Ce 0.000 0.000 0.000
Ta 1.960 1.960 1.931
S 1.960 1.960 4.310
N 0.000 1.960 1.324
N 1.960 0.000 1.324
```

- E_form (uncorrected): -1.43 eV/atom
- Magnetization: 0.9 μB per cell
- V: 89 Å³ per cell
- Theoretical density: 7.15 g/cm3

Entry from the Alexandria database: a geometry-optimized PrAlGaAu2 structure (GGA-PBE).

Geometry as extended XYZ:
```
5
Lattice="-2.156 2.156 5.684 2.156 -2.156 5.684 2.156 2.156 -5.684" Properties=species:S:1:pos:R:3 pbc="T T T"
Pr 0.000 0.000 0.000
Al 0.000 2.156 2.842
Ga 2.156 0.000 2.842
Au 0.000 0.000 4.304
Au 0.000 0.000 7.063
```

- Magnetization: 0.0 μB per cell
- Energy relative to the elements: -0.67 eV per atom
- V: 106 Å³ per cell
- Theoretical density: 9.93 g/cm3

Entry from the Alexandria database: a geometry-optimized Nd5ThRh4 structure (GGA-PBE).

Geometry as extended XYZ:
```
10
Lattice="8.923 -2.098 0.000 8.923 2.098 0.000 -2.256 0.000 7.609" Properties=species:S:1:pos:R:3 pbc="T T T"
Nd 0.000 0.000 0.000
Nd 4.507 0.000 4.863
Nd 5.619 0.000 1.139
Nd 9.972 0.000 6.470
Nd 11.083 0.000 2.746
Th -1.128 0.000 3.804
Rh 1.632 0.000 4.683
Rh 8.338 0.000 1.892
Rh 7.252 0.000 5.717
Rh 13.958 0.000 2.926
```

- Magnetization: 0.0 μB per cell
- Energy relative to the elements: -0.59 eV per atom
- V: 285 Å³ per cell
- Theoretical density: 7.96 g/cm3

Entry from the Alexandria database: a geometry-optimized TbMgPtPb structure (GGA-PBE).

Geometry as extended XYZ:
```
4
Lattice="0.000 3.547 3.547 3.547 0.000 3.547 3.547 3.547 0.000" Properties=species:S:1:pos:R:3 pbc="T T T"
Tb 0.000 0.000 0.000
Mg 3.547 3.547 3.547
Pt 1.774 1.774 1.774
Pb 5.321 5.321 5.321
```

- Magnetization: 0.0 μB per cell
- Energy relative to the elements: -0.58 eV per atom
- V: 89 Å³ per cell
- Theoretical density: 10.89 g/cm3

Entry from the Alexandria database: a geometry-optimized PbCSe2Br structure (GGA-PBE).

Geometry as extended XYZ:
```
5
Lattice="5.643 0.000 0.000 0.000 5.643 0.000 0.000 0.000 5.644" Properties=species:S:1:pos:R:3 pbc="T T T"
Pb 0.000 0.000 0.000
C 2.821 2.821 2.822
Se 0.000 2.821 0.000
Se 2.821 0.000 0.000
Br 0.000 0.000 2.822
```

- E_form (uncorrected): 1.71 eV/atom
- Magnetization: 0.2 μB per cell
- Relative energy among the computed polymorphs: 4.91 eV per formula unit
- V: 180 Å³ per cell
- Theoretical density: 4.22 g/cm3

Entry from the Alexandria database: a geometry-optimized HfB6Mo2 structure (GGA-PBE).

Geometry as extended XYZ:
```
9
Lattice="5.297 0.000 0.000 -2.648 4.587 0.000 0.000 0.000 3.418" Properties=species:S:1:pos:R:3 pbc="T T T"
Hf 0.000 0.000 0.000
B -0.890 1.541 1.709
B -1.759 3.046 1.709
B 1.779 0.000 1.709
B 0.890 1.541 1.709
B 3.518 0.000 1.709
B 1.759 3.046 1.709
Mo 0.000 3.058 0.000
Mo 2.648 1.529 0.000
```

- Magnetization: 0.0 μB per cell
- Energy relative to the elements: -0.53 eV per atom
- V: 83 Å³ per cell
- Theoretical density: 8.70 g/cm3